This record from Alexandria describes a relaxed structure of TaFeNi2. The functional is PBE-GGA.

Cell lengths 3.612, 3.612, 3.786 Å; angles 90.00, 90.00, 90.00 degrees
Fractional coordinates of all 4 atoms:
1 Ta 0.000 0.000 0.000
2 Fe 0.500 0.500 0.000
3 Ni 0.000 0.500 0.500
4 Ni 0.500 0.000 0.500

Calculated values
The value obtained for the formation energy is -90 kJ/mol of formula units. Its mass density is 11.91 Mg/m³. As for the magnetic moment: 0.8 μB/cell. The value obtained for the density of states at the Fermi level is 4.2 states/eV per cell.